Entry 1:
A plane-wave DFT calculation with PBE was carried out for a relaxed DyIn2AgBr6 crystal.

Calculated values
Space-group type: P2_1/c (14)
Magnetization (μB per formula unit): 0.00
Formation energy from raw total energies (eV per atom): -1.07
N(E_F) (states/eV/cell): 0.000

abc: 7.578 8.065 13.113
angles: 90.00 124.12 90.00
Atoms (fractional coordinates):
1 Dy 0.000 0.000 0.000
2 Dy 0.000 0.500 0.500
3 In 0.285 0.085 0.758
4 In 0.285 0.415 0.258
5 In 0.715 0.585 0.742
6 In 0.715 0.915 0.242
7 Ag 0.500 0.000 0.500
8 Ag 0.500 0.500 0.000
9 Br 0.142 0.024 0.249
10 Br 0.142 0.476 0.749
11 Br 0.236 0.706 0.051
12 Br 0.236 0.794 0.551
13 Br 0.351 0.188 0.047
14 Br 0.351 0.312 0.547
15 Br 0.649 0.688 0.453
16 Br 0.649 0.812 0.953
17 Br 0.764 0.206 0.449
18 Br 0.764 0.294 0.949
19 Br 0.858 0.524 0.251
20 Br 0.858 0.976 0.751

Entry 2:
A plane-wave DFT calculation with PBE was carried out for a relaxed MgCd5Hg4 crystal.

Calculated values
Space-group type: I4 (79)
Magnetization (μB per formula unit): 0.00
Excess energy over the best structure of this formula in the dataset (meV per atom): 23
Formation energy (eV/atom): 0.005
N(E_F) (states/eV/cell): 3.693

abc: 7.131 7.131 7.131
angles: 100.34 100.34 129.86
Atoms (fractional coordinates):
1 Mg 0.000 0.000 0.000
2 Cd 0.034 0.659 0.216
3 Cd 0.443 0.818 0.784
4 Cd 0.512 0.512 0.000
5 Cd 0.659 0.443 0.626
6 Cd 0.818 0.034 0.374
7 Hg 0.141 0.962 0.633
8 Hg 0.329 0.507 0.367
9 Hg 0.507 0.141 0.178
10 Hg 0.962 0.329 0.822

> Look up the N(E_F) of the second one.

3.693 states/eV/cell

> Among the records above, which one has the highest N(E_F)?

MgCd5Hg4

> Which value of magnetization does entry 1 give?

0.00 μB per formula unit